(1)
The following is a PBE calculation of a relaxed Mg2CuNiH6 crystal, from the Alexandria database.

Values from the calculation:
Raw total energy = -3.361 eV/atom

abc: 4.4077 4.4077 5.1569
angles: 115.22 115.22 89.85
Last column: nearest neighbours and their distance in Å.
Atoms (fractional coordinates):
Mg 0.7841 0.2844 0.5681  8 H 2.16-2.24
Mg 0.2839 0.7846 0.5681  8 H 2.16-2.24
Cu 0.5468 0.5473 0.0931  5 H 1.58-1.74
Ni 0.0451 0.0457 0.0903  5 H 1.56-1.64
H 0.7252 0.7257 0.9336  1 Ni 1.64, 1 Cu 1.74
H 0.7373 0.7377 0.4756  1 Cu 1.58
H 0.2094 0.2098 0.9341  1 Ni 1.64, 1 Cu 1.74
H 0.7245 0.2093 0.9334  1 Ni 1.64, 1 Cu 1.73
H 0.2340 0.2345 0.4682  1 Ni 1.56
H 0.2088 0.7250 0.9335  1 Ni 1.64, 1 Cu 1.73


(2)
The following is a PBE calculation of a relaxed LiMnSi2 crystal, from the Alexandria database.

Values from the calculation:
Raw formation energy = -8.3 kJ/mol of atoms

abc: 4.6671 4.6671 4.3153
angles: 86.83 86.83 32.15
Last column: nearest neighbours and their distance in Å.
Atoms (fractional coordinates):
Li 0.5033 0.5033 0.5161  7 Si 2.47-2.64, 2 Li 2.58, 1 Mn 2.66
Mn 0.2489 0.2489 0.2302  7 Si 2.49-2.60, 2 Mn 2.58, 3 Li 2.66-2.78
Si 0.9869 0.9869 0.0321  4 Li 2.47-2.57, 3 Si 2.49-2.58, 3 Mn 2.55-2.60
Si 0.7609 0.7609 0.7216  4 Mn 2.49-2.54, 3 Si 2.49-2.58, 3 Li 2.52-2.64


(3)
The following is a PBE calculation of a relaxed Zr2Sb2Pt crystal, from the Alexandria database.

Values from the calculation:
Raw formation energy = -43.4 kJ/mol of atoms

abc: 7.4109 7.4109 4.1450
angles: 90.00 90.00 90.00
Last column: nearest neighbours and their distance in Å.
Atoms (fractional coordinates):
Sb 0.1526 0.6526 0.5000  6 Zr 2.89-3.08, 1 Sb 3.20
Sb 0.6526 0.8474 0.5000  6 Zr 2.89-3.08, 1 Sb 3.20
Sb 0.8474 0.3474 0.5000  6 Zr 2.89-3.08, 1 Sb 3.20
Sb 0.3474 0.1526 0.5000  6 Zr 2.89-3.08, 1 Sb 3.20
Zr 0.3444 0.8444 0.0000  2 Pt 2.80, 6 Sb 2.89-3.08
Zr 0.8444 0.6556 0.0000  2 Pt 2.80, 6 Sb 2.89-3.08
Zr 0.6556 0.1556 0.0000  2 Pt 2.80, 6 Sb 2.89-3.08
Zr 0.1556 0.3444 0.0000  2 Pt 2.80, 6 Sb 2.89-3.08
Pt 0.0000 0.0000 0.0000  4 Zr 2.80
Pt 0.5000 0.5000 0.0000  4 Zr 2.80


(4)
The following is a PBE calculation of a relaxed Y2MoRh crystal, from the Alexandria database.

Values from the calculation:
Energy relative to the elements = -0.020 eV/atom

abc: 3.1866 3.1866 8.8301
angles: 90.00 90.00 90.00
Last column: nearest neighbours and their distance in Å.
Atoms (fractional coordinates):
Mo 0.0000 0.0000 0.5467  4 Rh 2.66
Rh 0.5000 0.5000 0.7068  4 Mo 2.66
Y 0.0000 0.0000 0.9423  4 Rh 3.07, 4 Y 3.19
Y 0.5000 0.5000 0.3042  4 Mo 3.11, 4 Y 3.19


(5)
The following is a PBE calculation of a relaxed LaCo2Tc crystal, from the Alexandria database.

Values from the calculation:
Energy relative to the elements = 0.027 eV/atom

abc: 4.1431 4.1431 5.6225
angles: 68.43 68.43 59.98
Last column: nearest neighbours and their distance in Å.
Atoms (fractional coordinates):
Co 0.9403 0.9403 0.1791  3 Tc 2.42, 3 Co 2.50
Co 0.5597 0.5597 0.3209  3 Tc 2.42, 3 Co 2.50
La 0.7500 0.7500 0.7500  8 Co 2.91-3.24
Tc 0.2500 0.2500 0.2500  6 Co 2.42


(6)
The following is a PBE calculation of a relaxed CsCaI2N crystal, from the Alexandria database.

Values from the calculation:
Raw formation energy = 40.7 kJ/mol of atoms

abc: 6.8458 6.8458 4.6487
angles: 90.00 90.00 90.00
Last column: nearest neighbours and their distance in Å.
Atoms (fractional coordinates):
Cs 0.0000 0.0000 0.0000  2 N 2.32
I 0.0000 0.5000 0.0000  2 Cs 3.42
I 0.5000 0.0000 0.0000  2 Cs 3.42
Ca 0.5000 0.5000 0.5000  8 I 4.14
N 0.0000 0.0000 0.5000  2 Cs 2.32


(7)
The following is a PBE calculation of a relaxed Be2CdPt crystal, from the Alexandria database.

Values from the calculation:
Energy relative to the elements = -0.130 eV/atom

abc: 4.1539 4.1539 2.9797
angles: 90.00 90.00 90.00
Last column: nearest neighbours and their distance in Å.
Atoms (fractional coordinates):
Be 0.0000 0.0000 0.0000  4 Cd 2.56, 4 Pt 2.56
Be 0.5000 0.5000 0.0000  4 Cd 2.56, 4 Pt 2.56
Pt 0.0000 0.5000 0.5000  8 Be 2.56
Cd 0.5000 0.0000 0.5000  8 Be 2.56


(8)
The following is a PBE calculation of a relaxed Tb4DyHo crystal, from the Alexandria database.

Values from the calculation:
Energy relative to the elements = 0.017 eV/atom

abc: 5.0020 7.9261 11.2105
angles: 148.05 89.90 108.47
Last column: nearest neighbours and their distance in Å.
Atoms (fractional coordinates):
Tb 0.8332 0.6664 0.4998  2 Dy 3.54, 7 Tb 3.54-3.55, 3 Ho 3.54-3.55
Tb 0.1667 0.3336 0.5002  2 Dy 3.54, 7 Tb 3.54-3.55, 3 Ho 3.54-3.55
Tb 0.3333 0.6665 0.9997  2 Ho 3.54, 3 Dy 3.54-3.55, 7 Tb 3.54-3.55
Tb 0.6666 0.3334 0.0003  2 Ho 3.54, 3 Dy 3.54-3.55, 7 Tb 3.54-3.55
Dy 0.5000 0.0000 0.5000  10 Tb 3.54-3.55, 2 Ho 3.55
Ho 0.0000 0.0000 0.0000  10 Tb 3.54-3.55, 2 Dy 3.55


Number 1: D(E_F) 0.4 states/eV/cell. Number 2: D(E_F) 1.5 states/eV/cell. Number 3: D(E_F) 4.7 states/eV/cell. Number 4: D(E_F) 3.5 states/eV/cell. Number 5: D(E_F) 5.8 states/eV/cell. Number 6: D(E_F) 2.7 states/eV/cell. Number 7: D(E_F) 1.7 states/eV/cell. Number 8: D(E_F) 7.8 states/eV/cell.